{"formula": "SrCoOs3", "functional": "PBE", "state": "relaxed", "lattice_angstrom": [[4.569, 0.000, 0.000], [0.000, 4.569, 0.000], [0.000, 0.000, 4.569]], "species": ["Sr", "Os", "Os", "Os", "Co"], "frac_coords": [[0.500, 0.500, 0.500], [0.000, 0.500, 0.000], [0.000, 0.000, 0.500], [0.500, 0.000, 0.000], [0.000, 0.000, 0.000]], "e_above_lowest_polymorph_mev_per_atom": 0, "e_form_kj_per_mol_fu": 683, "dos_ef_per_ev_fu": 7.48, "sg": "Pm-3m (221)", "magnetic_moment_mub_per_cell": 1.53, "e_tot_ev_per_atom": -7.08, "vol_a3_per_fu": 95.4}


{"formula": "MnPb2", "functional": "PBE", "state": "relaxed", "lattice_angstrom": [[0.000, 4.499, 4.499], [4.499, 0.000, 4.499], [4.499, 4.499, 0.000]], "species": ["Mn", "Mn", "Pb", "Pb", "Pb", "Pb"], "frac_coords": [[0.500, 0.500, 0.500], [0.750, 0.750, 0.750], [0.625, 0.125, 0.125], [0.125, 0.625, 0.125], [0.125, 0.125, 0.625], [0.125, 0.125, 0.125]], "e_form_kj_per_mol_fu": 230, "dos_ef_per_ev_fu": 2.78, "sg": "Fd-3m (227)", "magnetic_moment_mub_per_cell": 9.22, "e_tot_ev_per_atom": -4.73, "vol_a3_per_fu": 91.1}